(1)
# NaYSc2Se4

Crystalline NaYSc2Se4 at its relaxed geometry (GGA-PBE, Alexandria).

Calculated values
Fermi-level density of states in states/eV/atom: 0.41

Cell lengths 6.8930, 3.9505, 6.9809 Å; angles 90.00, 108.77, 90.00 degrees
Space group P2/m (No. 10)
Asymmetric unit:
Na (0.0000, 0.0000, 0.0000) [1 per cell]
Y (0.5000, 0.5000, 0.0000) [1 per cell]
Sc (0.0000, 0.5000, 0.5000) [1 per cell]
Sc (0.5000, 0.0000, 0.5000) [1 per cell]
Se (0.2442, 0.0000, 0.7356) [2 per cell]
Se (0.2578, 0.5000, 0.2678) [2 per cell]

(2)
# Na2YScSe4

Crystalline Na2YScSe4 at its relaxed geometry (GGA-PBE, Alexandria).

Calculated values
Fermi-level density of states in states/eV/atom: 0.00

Cell lengths 7.0115, 4.0482, 7.3686 Å; angles 90.00, 108.48, 90.00 degrees
Space group P2/m (No. 10)
Asymmetric unit:
Na (0.0000, 0.0000, 0.0000) [1 per cell]
Na (0.5000, 0.5000, 0.0000) [1 per cell]
Y (0.0000, 0.5000, 0.5000) [1 per cell]
Sc (0.5000, 0.0000, 0.5000) [1 per cell]
Se (0.2535, 0.0000, 0.7270) [2 per cell]
Se (0.2704, 0.5000, 0.2791) [2 per cell]

(3)
# Na2Y3ScSe6

Crystalline Na2Y3ScSe6 at its relaxed geometry (GGA-PBE, Alexandria).

Calculated values
Fermi-level density of states in states/eV/atom: 0.32

Cell lengths 7.0871, 12.2505, 7.0525 Å; angles 90.00, 109.56, 90.00 degrees
Space group C2/m (No. 12)
Asymmetric unit:
Na (0.0000, 0.1651, 0.0000) [4 per cell]
Y (0.0000, 0.0000, 0.5000) [2 per cell]
Y (0.0000, 0.3292, 0.5000) [4 per cell]
Sc (0.0000, 0.5000, 0.0000) [2 per cell]
Se (0.2379, 0.5000, 0.7482) [4 per cell]
Se (0.2432, 0.3385, 0.2463) [8 per cell]

(4)
# Na3Y3ScSe8

Crystalline Na3Y3ScSe8 at its relaxed geometry (GGA-PBE, Alexandria).

Calculated values
Fermi-level density of states in states/eV/atom: 0.42

Cell lengths 8.1481, 8.1481, 21.2672 Å; angles 90.00, 90.00, 120.00 degrees
Space group R-3m (No. 166, hexagonal axes)
Asymmetric unit:
Na (0.0000, 0.5000, 0.0000) [9 per cell]
Y (0.0000, 0.5000, 0.5000) [9 per cell]
Sc (0.0000, 0.0000, 0.5000) [3 per cell]
Se (0.0000, 0.0000, 0.2441) [6 per cell]
Se (0.0124, 0.5062, 0.2405) [18 per cell]

(5)
# NaY2ScSe4

Crystalline NaY2ScSe4 at its relaxed geometry (GGA-PBE, Alexandria).

Calculated values
Fermi-level density of states in states/eV/atom: 0.38

Cell lengths 6.9772, 4.0315, 7.0668 Å; angles 90.00, 109.13, 90.00 degrees
Space group P2/m (No. 10)
Asymmetric unit:
Na (0.0000, 0.0000, 0.0000) [1 per cell]
Y (0.5000, 0.0000, 0.5000) [1 per cell]
Y (0.5000, 0.5000, 0.0000) [1 per cell]
Sc (0.0000, 0.5000, 0.5000) [1 per cell]
Se (0.2392, 0.0000, 0.7413) [2 per cell]
Se (0.2466, 0.5000, 0.2563) [2 per cell]

(6)
# Na2YSc3Se6

Crystalline Na2YSc3Se6 at its relaxed geometry (GGA-PBE, Alexandria).

Calculated values
Fermi-level density of states in states/eV/atom: 0.36

Cell lengths 6.8571, 11.8662, 7.0527 Å; angles 90.00, 108.90, 90.00 degrees
Space group C2/m (No. 12)
Asymmetric unit:
Na (0.0000, 0.1662, 0.0000) [4 per cell]
Y (0.0000, 0.5000, 0.0000) [2 per cell]
Sc (0.0000, 0.0000, 0.5000) [2 per cell]
Sc (0.0000, 0.3321, 0.5000) [4 per cell]
Se (0.2403, 0.5000, 0.7311) [4 per cell]
Se (0.2457, 0.1652, 0.7327) [8 per cell]

(7)
# NaYSc4Se8

Crystalline NaYSc4Se8 at its relaxed geometry (GGA-PBE, Alexandria).

Cell lengths 8.0539, 8.0539, 20.2922 Å; angles 90.00, 90.00, 120.00 degrees
Space group R3m (No. 160, hexagonal axes)
Asymmetric unit:
Na (0.0000, 0.0000, 0.0000) [3 per cell]
Y (0.0000, 0.0000, 0.3659) [3 per cell]
Sc (0.0000, 0.0000, 0.7427) [3 per cell]
Sc (0.0152, 0.5076, 0.8721) [9 per cell]
Se (0.0000, 0.0000, 0.1333) [3 per cell]
Se (0.0000, 0.0000, 0.6118) [3 per cell]
Se (0.0117, 0.5058, 0.1251) [9 per cell]
Se (0.1776, 0.3552, 0.9446) [9 per cell]

(8)
# NaScZnSe3

Crystalline NaScZnSe3 at its relaxed geometry (GGA-PBE, Alexandria).

Calculated values
Fermi-level density of states in states/eV/atom: 0.00

Cell lengths 8.1928, 3.9561, 9.6264 Å; angles 90.00, 106.85, 90.00 degrees
Space group P2_1/m (No. 11)
Asymmetric unit:
Na (0.1991, 0.2500, 0.2071) [2 per cell]
Sc (0.3304, 0.7500, 0.8583) [2 per cell]
Zn (0.0843, 0.2500, 0.6029) [2 per cell]
Se (0.0967, 0.2500, 0.8586) [2 per cell]
Se (0.2350, 0.7500, 0.5420) [2 per cell]
Se (0.4460, 0.7500, 0.1502) [2 per cell]

(9)
# Na3Zr3ScSe8

Crystalline Na3Zr3ScSe8 at its relaxed geometry (GGA-PBE, Alexandria).

Calculated values
Fermi-level density of states in states/eV/atom: 0.38

Cell lengths 7.6824, 7.6824, 21.6515 Å; angles 90.00, 90.00, 120.00 degrees
Space group R-3m (No. 166, hexagonal axes)
Asymmetric unit:
Na (0.0000, 0.5000, 0.0000) [9 per cell]
Zr (0.0000, 0.5000, 0.5000) [9 per cell]
Sc (0.0000, 0.0000, 0.5000) [3 per cell]
Se (0.0000, 0.0000, 0.2421) [6 per cell]
Se (0.0014, 0.5007, 0.7598) [18 per cell]

(10)
# Na2ZrScSe4

Crystalline Na2ZrScSe4 at its relaxed geometry (GGA-PBE, Alexandria).

Calculated values
Fermi-level density of states in states/eV/atom: 0.37

Cell lengths 6.7624, 3.8811, 7.4191 Å; angles 90.00, 107.55, 90.00 degrees
Space group P2/m (No. 10)
Asymmetric unit:
Na (0.0000, 0.0000, 0.0000) [1 per cell]
Na (0.5000, 0.5000, 0.0000) [1 per cell]
Zr (0.0000, 0.5000, 0.5000) [1 per cell]
Sc (0.5000, 0.0000, 0.5000) [1 per cell]
Se (0.2426, 0.0000, 0.7246) [2 per cell]
Se (0.2599, 0.5000, 0.2780) [2 per cell]

(11)
# Na2ZrSc2Se6

Crystalline Na2ZrSc2Se6 at its relaxed geometry (GGA-PBE, Alexandria).

Cell lengths 6.7432, 11.6544, 7.4546 Å; angles 90.00, 107.56, 90.00 degrees
Space group C2/m (No. 12)
Asymmetric unit:
Na (0.0000, 0.1664, 0.0000) [4 per cell]
Zr (0.0000, 0.0000, 0.5000) [2 per cell]
Sc (0.0000, 0.3328, 0.5000) [4 per cell]
Se (0.2389, 0.1656, 0.7173) [8 per cell]
Se (0.2394, 0.5000, 0.7164) [4 per cell]

(12)
# Na2ScSi4

Crystalline Na2ScSi4 at its relaxed geometry (GGA-PBE, Alexandria).

Calculated values
Fermi-level density of states in states/eV/atom: 0.80

Cell lengths 5.0437, 5.0437, 14.8007 Å; angles 90.00, 90.00, 90.00 degrees
Space group I4/mmm (No. 139)
Asymmetric unit:
Na (0.0000, 0.0000, 0.1299) [4 per cell]
Sc (0.0000, 0.0000, 0.5000) [2 per cell]
Si (0.0000, 0.0000, 0.3281) [4 per cell]
Si (0.0000, 0.5000, 0.0000) [4 per cell]

Respective energy relative to the elements, uncorrected values: -158.4, -158.4, -162.4, -154.5, -162.0, -156.7, -157.1, -118.9, -135.0, -138.7, -146.5, 65.0 kJ per mole of atoms.
Respective DFT total energy values: -5.94, -5.31, -5.79, -5.44, -5.99, -5.71, -5.98, -4.46, -5.65, -5.37, -5.59, -3.71 eV/atom.
Respective magnetization values: 0.0000, 0.0000, 0.0000, 0.0000, 0.0000, 0.0000, 0.0000, 0.0000, 0.0000, 0.0000, 0.0000, 0.0000 μB/atom.